Entry 1:
Entry from OQMD: a relaxed structure of CoTc3 (PBE-GGA).

Structure (extended XYZ):
```
8
Lattice="5.377 0.000 0.000 -2.688 4.656 0.000 0.000 0.000 4.294" Properties=species:S:1:pos:R:3 pbc="T T T"
Co 0.000 3.104 1.074
Co 2.688 1.552 3.221
Tc 0.000 1.556 3.221
Tc -1.341 3.878 3.221
Tc 1.348 0.778 1.074
Tc 1.341 3.878 3.221
Tc 4.029 0.778 1.074
Tc 2.688 3.100 1.074
```

Results
The formation energy comes out at -0.054 eV/atom. For the energy relative to the lowest polymorph listed for this composition, the calculation gives 0 meV per atom.

Entry 2:
Entry from OQMD: a relaxed structure of ThCoTc (PBE-GGA).

Structure (extended XYZ):
```
12
Lattice="6.256 0.000 0.000 0.000 6.256 0.000 0.000 0.000 6.256" Properties=species:S:1:pos:R:3 pbc="T T T"
Th 0.000 0.000 0.000
Th 0.000 3.128 3.128
Th 3.128 0.000 3.128
Th 3.128 3.128 0.000
Co 1.564 1.564 4.692
Co 1.564 4.692 1.564
Co 4.692 1.564 1.564
Co 4.692 4.692 4.692
Tc 0.000 0.000 3.128
Tc 0.000 3.128 0.000
Tc 3.128 0.000 0.000
Tc 3.128 3.128 3.128
```

Results
The formation energy comes out at 0.294 eV/atom.

Entry 3:
Entry from OQMD: a relaxed structure of TlCoTcW (PBE-GGA).

Structure (extended XYZ):
```
16
Lattice="6.312 0.000 0.000 0.000 6.312 0.000 0.000 0.000 6.312" Properties=species:S:1:pos:R:3 pbc="T T T"
Tl 0.000 0.000 0.000
Tl 0.000 3.156 3.156
Tl 3.156 0.000 3.156
Tl 3.156 3.156 0.000
Co 1.578 1.578 1.578
Co 1.578 4.734 4.734
Co 4.734 1.578 4.734
Co 4.734 4.734 1.578
Tc 1.578 1.578 4.734
Tc 1.578 4.734 1.578
Tc 4.734 1.578 1.578
Tc 4.734 4.734 4.734
W 0.000 0.000 3.156
W 0.000 3.156 0.000
W 3.156 0.000 0.000
W 3.156 3.156 3.156
```

Results
For the energy relative to the lowest polymorph listed for this composition, the calculation gives 0 meV per atom.